! PBE La2SmNi2Pt7, relaxed; values from VASP
&SYSTEM
  ibrav = 0, nat = 12, ntyp = 4
/
ATOMIC_SPECIES
La 138.91 La.upf
Ni 58.69 Ni.upf
Pt 195.08 Pt.upf
Sm 150.36 Sm.upf
CELL_PARAMETERS angstrom
-6.580 -5.931 2.617
-2.452 -6.452 6.138
-5.970 -2.321 6.655
ATOMIC_POSITIONS angstrom
La -2.083 -2.042 2.140
La -12.919 -12.663 13.271
Ni -4.996 -4.897 5.132
Ni -10.006 -9.808 10.279
Pt -5.691 -7.357 5.583
Pt -9.617 -9.166 7.793
Pt -7.538 -9.428 9.567
Pt -7.501 -7.352 7.705
Pt -7.463 -5.276 5.844
Pt -5.384 -5.539 7.617
Pt -9.310 -7.348 9.827
Sm 0.000 0.000 0.000
! Energy of formation from the pure elements = -0.86 eV/atom
! Symmetry = R-3m (166)